1.
# Bi3OsF (GGA-PBE, optimized geometry)
# **Formation energy from raw total energies**: 198.6 kJ/mol of formula units
# **SG**: Pm-3m
# **Calculated density**: 9.12 g cm⁻³
# **Magnetization**: 0.000 μB/atom
data_Bi3OsF
_chemical_formula_sum 'Bi3 Os1 F1'
_cell_length_a 5.340
_cell_length_b 5.340
_cell_length_c 5.340
_cell_angle_alpha 90.00
_cell_angle_beta 90.00
_cell_angle_gamma 90.00
_symmetry_space_group_name_H-M 'P 1'
_symmetry_Int_Tables_number 1
_symmetry_space_group_name_Hall 'P 1'
loop_
_atom_site_label
_atom_site_fract_x
_atom_site_fract_y
_atom_site_fract_z
Os1 0.000 0.000 0.000
Bi1 0.000 0.500 0.000
Bi2 0.000 0.000 0.500
Bi3 0.500 0.000 0.000
F1 0.500 0.500 0.500

---

2.
# SrLiSm2Au4 (GGA-PBE, optimized geometry)
# **SG**: R-3m
# **Calculated density**: 10.07 g cm⁻³
# **E_form**: -16.016 kcal/mol of atoms
# **Magnetization**: 0.000 μB/atom
data_SrLiSm2Au4
_chemical_formula_sum 'Sr1 Li1 Sm2 Au4'
_cell_length_a 5.079
_cell_length_b 5.079
_cell_length_c 9.215
_cell_angle_alpha 74.00
_cell_angle_beta 74.00
_cell_angle_gamma 60.00
_symmetry_space_group_name_H-M 'P 1'
_symmetry_Int_Tables_number 1
_symmetry_space_group_name_Hall 'P 1'
loop_
_atom_site_label
_atom_site_fract_x
_atom_site_fract_y
_atom_site_fract_z
Sr1 0.000 0.000 0.000
Li1 0.500 0.500 0.500
Sm1 0.762 0.762 0.714
Sm2 0.238 0.238 0.286
Au1 0.393 0.393 0.820
Au2 0.876 0.876 0.371
Au3 0.124 0.124 0.629
Au4 0.607 0.607 0.180

---

3.
# TaFeTeN2 (GGA-PBE, optimized geometry)
# **Formation energy from raw total energies**: 246.3 kJ/mol of formula units
# **SG**: P4/mmm
# **Calculated density**: 6.98 g cm⁻³
# **Magnetization**: 0.832 μB/atom
data_TaFeTeN2
_chemical_formula_sum 'Ta1 Fe1 Te1 N2'
_cell_length_a 3.997
_cell_length_b 3.997
_cell_length_c 5.848
_cell_angle_alpha 90.00
_cell_angle_beta 90.00
_cell_angle_gamma 90.00
_symmetry_space_group_name_H-M 'P 1'
_symmetry_Int_Tables_number 1
_symmetry_space_group_name_Hall 'P 1'
loop_
_atom_site_label
_atom_site_fract_x
_atom_site_fract_y
_atom_site_fract_z
N1 0.000 0.500 0.000
N2 0.500 0.000 0.000
Te1 0.000 0.000 0.500
Fe1 0.500 0.500 0.500
Ta1 0.000 0.000 0.000

---

4.
# PbBrCl (GGA-PBE, optimized geometry)
# **Formation energy from raw total energies**: -296.5 kJ/mol of formula units
# **SG**: C2/m
# **Calculated density**: 4.91 g cm⁻³
# **Magnetization**: 0.000 μB/atom
data_PbBrCl
_chemical_formula_sum 'Pb2 Br2 Cl2'
_cell_length_a 4.459
_cell_length_b 6.806
_cell_length_c 7.763
_cell_angle_alpha 100.54
_cell_angle_beta 90.00
_cell_angle_gamma 109.12
_symmetry_space_group_name_H-M 'P 1'
_symmetry_Int_Tables_number 1
_symmetry_space_group_name_Hall 'P 1'
loop_
_atom_site_label
_atom_site_fract_x
_atom_site_fract_y
_atom_site_fract_z
Pb1 0.758 0.516 0.246
Pb2 0.242 0.484 0.754
Br1 0.877 0.754 0.640
Br2 0.123 0.246 0.360
Cl1 0.633 0.265 0.895
Cl2 0.367 0.735 0.105

---

5.
# SrSm5Te6 (GGA-PBE, optimized geometry)
# **Formation energy from raw total energies**: -1650.5 kJ/mol of formula units
# **SG**: C2/m
# **Calculated density**: 6.97 g cm⁻³
# **Magnetization**: 0.000 μB/atom
data_SrSm5Te6
_chemical_formula_sum 'Sr1 Sm5 Te6'
_cell_length_a 7.799
_cell_length_b 7.739
_cell_length_c 7.753
_cell_angle_alpha 60.06
_cell_angle_beta 80.46
_cell_angle_gamma 70.60
_symmetry_space_group_name_H-M 'P 1'
_symmetry_Int_Tables_number 1
_symmetry_space_group_name_Hall 'P 1'
loop_
_atom_site_label
_atom_site_fract_x
_atom_site_fract_y
_atom_site_fract_z
Sr1 0.000 0.000 0.000
Sm1 0.500 0.161 0.678
Sm2 0.000 0.332 0.335
Sm3 0.500 0.500 0.000
Sm4 0.000 0.668 0.665
Sm5 0.500 0.839 0.322
Te1 0.744 0.085 0.339
Te2 0.256 0.575 0.339
Te3 0.248 0.257 0.000
Te4 0.752 0.743 0.000
Te5 0.744 0.425 0.661
Te6 0.256 0.915 0.661

---

6.
# SnBi2Pb (GGA-PBE, optimized geometry)
# **SG**: P4/mmm
# **Calculated density**: 10.08 g cm⁻³
# **E_form**: 2.160 kcal/mol of atoms
# **Magnetization**: 0.000 μB/atom
data_SnBi2Pb
_chemical_formula_sum 'Sn1 Bi2 Pb1'
_cell_length_a 3.928
_cell_length_b 3.928
_cell_length_c 7.940
_cell_angle_alpha 90.00
_cell_angle_beta 90.00
_cell_angle_gamma 90.00
_symmetry_space_group_name_H-M 'P 1'
_symmetry_Int_Tables_number 1
_symmetry_space_group_name_Hall 'P 1'
loop_
_atom_site_label
_atom_site_fract_x
_atom_site_fract_y
_atom_site_fract_z
Pb1 0.500 0.500 0.500
Bi1 0.000 0.000 0.763
Bi2 0.000 0.000 0.237
Sn1 0.500 0.500 0.000

---

7.
# Te2IrBr (GGA-PBE, optimized geometry)
# **Formation energy from raw total energies**: 8.5 kJ/mol of formula units
# **SG**: I4_1/amd
# **Calculated density**: 8.77 g cm⁻³
# **Magnetization**: 0.000 μB/atom
data_Te2IrBr
_chemical_formula_sum 'Te4 Ir2 Br2'
_cell_length_a 5.651
_cell_length_b 5.651
_cell_length_c 7.419
_cell_angle_alpha 67.61
_cell_angle_beta 67.61
_cell_angle_gamma 90.00
_symmetry_space_group_name_H-M 'P 1'
_symmetry_Int_Tables_number 1
_symmetry_space_group_name_Hall 'P 1'
loop_
_atom_site_label
_atom_site_fract_x
_atom_site_fract_y
_atom_site_fract_z
Ir1 0.000 0.000 0.000
Ir2 0.750 0.250 0.500
Te1 0.790 0.790 0.420
Te2 0.960 0.460 0.080
Te3 0.210 0.210 0.580
Te4 0.540 0.040 0.920
Br1 0.500 0.500 0.000
Br2 0.250 0.750 0.500

---

8.
# TlAsAu2 (GGA-PBE, optimized geometry)
# **SG**: Pmmm
# **Calculated density**: 13.00 g cm⁻³
# **E_form**: 3.999 kcal/mol of atoms
# **Magnetization**: 0.000 μB/atom
data_TlAsAu2
_chemical_formula_sum 'Tl1 As1 Au2'
_cell_length_a 3.018
_cell_length_b 3.751
_cell_length_c 7.597
_cell_angle_alpha 90.00
_cell_angle_beta 90.00
_cell_angle_gamma 90.00
_symmetry_space_group_name_H-M 'P 1'
_symmetry_Int_Tables_number 1
_symmetry_space_group_name_Hall 'P 1'
loop_
_atom_site_label
_atom_site_fract_x
_atom_site_fract_y
_atom_site_fract_z
Tl1 0.500 0.500 0.250
Au1 0.000 0.000 0.959
Au2 0.000 0.000 0.541
As1 0.500 0.500 0.750

---

9.
# CeInSn (GGA-PBE, optimized geometry)
# **SG**: P2/m
# **Calculated density**: 6.39 g cm⁻³
# **E_form**: -6.283 kcal/mol of atoms
# **Magnetization**: 0.285 μB/atom
data_CeInSn
_chemical_formula_sum 'Ce2 In2 Sn2'
_cell_length_a 6.838
_cell_length_b 4.833
_cell_length_c 10.746
_cell_angle_alpha 116.72
_cell_angle_beta 50.51
_cell_angle_gamma 134.93
_symmetry_space_group_name_H-M 'P 1'
_symmetry_Int_Tables_number 1
_symmetry_space_group_name_Hall 'P 1'
loop_
_atom_site_label
_atom_site_fract_x
_atom_site_fract_y
_atom_site_fract_z
Ce1 0.749 0.999 0.250
Ce2 0.251 0.001 0.750
In1 0.749 0.000 0.750
In2 0.251 0.000 0.250
Sn1 0.000 0.500 0.000
Sn2 0.000 0.500 0.500

---

10.
# LiTiB (GGA-PBE, optimized geometry)
# **SG**: Pnma
# **Calculated density**: 2.85 g cm⁻³
# **E_form**: -1.345 kcal/mol of atoms
# **Magnetization**: 0.000 μB/atom
data_LiTiB
_chemical_formula_sum 'Li4 Ti4 B4'
_cell_length_a 6.960
_cell_length_b 3.886
_cell_length_c 5.662
_cell_angle_alpha 90.00
_cell_angle_beta 90.00
_cell_angle_gamma 90.00
_symmetry_space_group_name_H-M 'P 1'
_symmetry_Int_Tables_number 1
_symmetry_space_group_name_Hall 'P 1'
loop_
_atom_site_label
_atom_site_fract_x
_atom_site_fract_y
_atom_site_fract_z
B1 0.843 0.250 0.412
B2 0.657 0.750 0.912
B3 0.157 0.750 0.588
B4 0.343 0.250 0.088
Li1 0.052 0.250 0.852
Li2 0.448 0.750 0.352
Li3 0.948 0.750 0.148
Li4 0.552 0.250 0.648
Ti1 0.155 0.250 0.395
Ti2 0.345 0.750 0.895
Ti3 0.845 0.750 0.605
Ti4 0.655 0.250 0.105

---

11.
# Ta2AlMo (GGA-PBE, optimized geometry)
# **SG**: P2/m
# **Calculated density**: 11.86 g cm⁻³
# **E_form**: -2.517 kcal/mol of atoms
# **Magnetization**: 0.000 μB/atom
data_Ta2AlMo
_chemical_formula_sum 'Ta2 Al1 Mo1'
_cell_length_a 4.557
_cell_length_b 2.793
_cell_length_c 5.417
_cell_angle_alpha 79.87
_cell_angle_beta 90.00
_cell_angle_gamma 90.00
_symmetry_space_group_name_H-M 'P 1'
_symmetry_Int_Tables_number 1
_symmetry_space_group_name_Hall 'P 1'
loop_
_atom_site_label
_atom_site_fract_x
_atom_site_fract_y
_atom_site_fract_z
Mo1 0.500 0.750 0.750
Al1 0.500 0.250 0.250
Ta1 0.000 0.983 0.994
Ta2 0.000 0.517 0.506

---

12.
# TiZnCd2Bi (GGA-PBE, optimized geometry)
# **SG**: P4/mmm
# **Calculated density**: 5.49 g cm⁻³
# **E_form**: 12.746 kcal/mol of atoms
# **Magnetization**: 0.176 μB/atom
data_TiZnCd2Bi
_chemical_formula_sum 'Ti1 Zn1 Cd2 Bi1'
_cell_length_a 5.600
_cell_length_b 5.276
_cell_length_c 5.600
_cell_angle_alpha 90.00
_cell_angle_beta 90.00
_cell_angle_gamma 90.00
_symmetry_space_group_name_H-M 'P 1'
_symmetry_Int_Tables_number 1
_symmetry_space_group_name_Hall 'P 1'
loop_
_atom_site_label
_atom_site_fract_x
_atom_site_fract_y
_atom_site_fract_z
Zn1 0.500 0.500 0.500
Ti1 0.000 0.000 0.000
Bi1 0.000 0.500 0.000
Cd1 0.000 0.000 0.500
Cd2 0.500 0.000 0.000